Entry from the Alexandria database: a relaxed structure of MnPO4 (PBE+U).

```
data_MnPO4
_chemical_formula_sum 'Mn4 P4 O16'
_cell_length_a 5.390
_cell_length_b 5.670
_cell_length_c 10.125
_cell_angle_alpha 82.90
_cell_angle_beta 90.00
_cell_angle_gamma 90.00
_space_group_name_H-M_alt 'P 1'
_space_group_IT_number 1
_space_group_name_Hall 'P 1'
loop_
_atom_site_label
_atom_site_type_symbol
_atom_site_fract_x
_atom_site_fract_y
_atom_site_fract_z
_atom_site_occupancy
Mn1 Mn 0.948 0.154 0.132 1
Mn2 Mn 0.448 0.846 0.368 1
Mn3 Mn 0.552 0.154 0.632 1
Mn4 Mn 0.052 0.846 0.868 1
P1 P 0.157 0.688 0.117 1
P2 P 0.657 0.312 0.383 1
P3 P 0.343 0.688 0.617 1
P4 P 0.843 0.312 0.883 1
O1 O 0.274 0.886 0.709 1
O2 O 0.140 0.442 0.193 1
O3 O 0.904 0.791 0.052 1
O4 O 0.317 0.710 0.988 1
O5 O 0.683 0.290 0.012 1
O6 O 0.226 0.886 0.209 1
O7 O 0.860 0.558 0.807 1
O8 O 0.183 0.710 0.488 1
O9 O 0.404 0.209 0.448 1
O10 O 0.640 0.558 0.307 1
O11 O 0.726 0.114 0.291 1
O12 O 0.774 0.114 0.791 1
O13 O 0.096 0.209 0.948 1
O14 O 0.360 0.442 0.693 1
O15 O 0.596 0.791 0.552 1
O16 O 0.817 0.290 0.512 1
```

Its space group is P2_1/c. The final energy is -7.33 eV/atom. Its crystal system is monoclinic. As for the total magnetic moment: 16.000 Bohr magnetons per cell.